Entry 1:
A relaxed structure of Cs2RbSnI6. Source: Alexandria, functional GGA-PBE.

The structure belongs to space group R-3m (No. 166, hexagonal axes); the cell edges are 8.5839, 8.5839 and 53.5511 Å and the angles 90.00°, 90.00° and 120.00°. Symmetry generates all atoms from Cs at (0.0000, 0.0000, 0.1416), Cs at (0.0000, 0.0000, 0.3092), Rb at (0.0000, 0.0000, 0.4171), Sn at (0.0000, 0.0000, 0.0000), Sn at (0.0000, 0.0000, 0.5000), I at (0.0006, 0.5003, 0.3006) and I at (0.0032, 0.5016, 0.8662).

The value obtained for the raw formation energy is -1.060 eV per atom. The density of states at the Fermi level is 3.630 states/eV/f.u. The energy above the most stable polymorph in this dataset comes out at 0.0 kJ per mole of atoms.

=====

Entry 2:
A relaxed structure of Cs2RbSnI6. Source: Alexandria, functional GGA-PBE.

The structure belongs to space group Fm-3m (No. 225); the cell edges are 13.002, 13.002 and 13.002 Å and the angles 90.00°, 90.00° and 90.00°. Symmetry generates all atoms from Cs at (0.250, 0.250, 0.250), Rb at (0.000, 0.000, 0.000), Sn at (0.000, 0.000, 0.500) and I at (0.000, 0.000, 0.268).

The value obtained for the raw formation energy is -1.026 eV per atom. The density of states at the Fermi level is 16.910 states/eV/f.u. The energy above the most stable polymorph in this dataset comes out at 3.3 kJ per mole of atoms.

=====

Entry 3:
A relaxed structure of Cs4Rb3SnI8. Source: Alexandria, functional GGA-PBE.

The structure belongs to space group C2/m (No. 12); the cell edges are 18.953, 10.542 and 10.648 Å and the angles 90.00°, 122.96° and 90.00°. Symmetry generates all atoms from Cs at (0.000, 0.000, 0.000), Cs at (0.000, 0.500, 0.000), Cs at (0.250, 0.250, 0.500), Rb at (0.000, 0.000, 0.500), Rb at (0.250, 0.250, 0.000), Sn at (0.000, 0.500, 0.500), I at (0.005, 0.272, 0.724), I at (0.230, 0.000, 0.219) and I at (0.246, 0.000, 0.755).

The value obtained for the raw formation energy is -1.293 eV per atom.

=====

What did the first record say?
A relaxed structure of Cs2RbSnI6. Source: Alexandria, functional GGA-PBE.

The structure belongs to space group R-3m (No. 166, hexagonal axes); the cell edges are 8.5839, 8.5839 and 53.5511 Å and the angles 90.00°, 90.00° and 120.00°. Symmetry generates all atoms from Cs at (0.0000, 0.0000, 0.1416), Cs at (0.0000, 0.0000, 0.3092), Rb at (0.0000, 0.0000, 0.4171), Sn at (0.0000, 0.0000, 0.0000), Sn at (0.0000, 0.0000, 0.5000), I at (0.0006, 0.5003, 0.3006) and I at (0.0032, 0.5016, 0.8662).

The value obtained for the raw formation energy is -1.060 eV per atom. The density of states at the Fermi level is 3.630 states/eV/f.u. The energy above the most stable polymorph in this dataset comes out at 0.0 kJ per mole of atoms.

=====

Question: raw formation energy of number 2 (Cs2RbSnI6)?
Answer: -1.026 eV per atom

=====

Question: What is the raw formation energy in the first record?
Answer: -1.060 eV per atom

=====

Question: Among the records above, which one has the highest raw formation energy?
Answer: number 2